Computed, not measured: a relaxed structure of Tl2In3AgI6 at the GGA-PBE level of DFT.

```
data_Tl2In3AgI6
_cell_length_a 8.379
_cell_length_b 8.379
_cell_length_c 8.469
_cell_angle_alpha 99.77
_cell_angle_beta 99.77
_cell_angle_gamma 118.91
_space_group_name_H-M_alt 'P 1'
_space_group_IT_number 1
loop_
_space_group_symop_operation_xyz
'x,y,z'
loop_
_atom_site_label
_atom_site_fract_x
_atom_site_fract_y
_atom_site_fract_z
Tl1 0.164 0.836 0.000
Tl2 0.836 0.164 0.000
In1 0.000 0.000 0.500
In2 0.328 0.672 0.500
In3 0.672 0.328 0.500
Ag1 0.500 0.500 0.000
I1 0.130 0.428 0.775
I2 0.274 0.274 0.260
I3 0.428 0.130 0.775
I4 0.572 0.870 0.225
I5 0.726 0.726 0.740
I6 0.870 0.572 0.225
```

Calculated values
energy relative to the elements, uncorrected	-5.55	eV/f.u.

Computed, not measured: a relaxed structure of Tl3InAg2I6 at the GGA-PBE level of DFT.

```
data_Tl3InAg2I6
_cell_length_a 10.496
_cell_length_b 10.496
_cell_length_c 10.068
_cell_angle_alpha 105.19
_cell_angle_beta 105.19
_cell_angle_gamma 27.09
_space_group_name_H-M_alt 'P 1'
_space_group_IT_number 1
loop_
_space_group_symop_operation_xyz
'x,y,z'
loop_
_atom_site_label
_atom_site_fract_x
_atom_site_fract_y
_atom_site_fract_z
Tl1 0.000 0.000 0.000
Tl2 0.337 0.337 0.655
Tl3 0.663 0.663 0.345
In1 0.000 0.000 0.500
Ag1 0.332 0.332 0.081
Ag2 0.668 0.668 0.919
I1 0.170 0.170 0.580
I2 0.187 0.187 0.087
I3 0.472 0.472 0.233
I4 0.528 0.528 0.767
I5 0.813 0.813 0.913
I6 0.830 0.830 0.420
```

Calculated values
energy relative to the elements, uncorrected	-5.38	eV/f.u.

Computed, not measured: a relaxed structure of TlIn2AgI8 at the GGA-PBE level of DFT.

```
data_TlIn2AgI8
_cell_length_a 7.587
_cell_length_b 7.587
_cell_length_c 10.721
_cell_angle_alpha 90.00
_cell_angle_beta 90.00
_cell_angle_gamma 120.00
_space_group_name_H-M_alt 'P 1'
_space_group_IT_number 1
loop_
_space_group_symop_operation_xyz
'x,y,z'
loop_
_atom_site_label
_atom_site_fract_x
_atom_site_fract_y
_atom_site_fract_z
Tl1 0.000 0.000 0.000
In1 0.333 0.667 0.751
In2 0.667 0.333 0.249
Ag1 0.000 0.000 0.500
I1 0.010 0.690 0.324
I2 0.310 0.321 0.324
I3 0.321 0.010 0.676
I4 0.333 0.667 0.008
I5 0.667 0.333 0.992
I6 0.679 0.990 0.324
I7 0.690 0.679 0.676
I8 0.990 0.310 0.676
```

Calculated values
energy relative to the elements, uncorrected	-5.45	eV/f.u.

Computed, not measured: a relaxed structure of TmInAg2I6 at the GGA-PBE level of DFT.

```
data_TmInAg2I6
_cell_length_a 9.014
_cell_length_b 9.014
_cell_length_c 9.014
_cell_angle_alpha 52.58
_cell_angle_beta 52.58
_cell_angle_gamma 52.58
_space_group_name_H-M_alt 'P 1'
_space_group_IT_number 1
loop_
_space_group_symop_operation_xyz
'x,y,z'
loop_
_atom_site_label
_atom_site_fract_x
_atom_site_fract_y
_atom_site_fract_z
Tm1 0.000 0.000 0.000
In1 0.500 0.500 0.500
Ag1 0.269 0.269 0.269
Ag2 0.731 0.731 0.731
I1 0.075 0.772 0.383
I2 0.228 0.617 0.925
I3 0.383 0.075 0.772
I4 0.617 0.925 0.228
I5 0.772 0.383 0.075
I6 0.925 0.228 0.617
```

Calculated values
energy relative to the elements, uncorrected	-7.00	eV/f.u.

Computed, not measured: a relaxed structure of Zr2InAgI at the GGA-PBE level of DFT.

```
data_Zr2InAgI
_cell_length_a 5.390
_cell_length_b 5.390
_cell_length_c 5.015
_cell_angle_alpha 90.00
_cell_angle_beta 90.00
_cell_angle_gamma 90.00
_space_group_name_H-M_alt 'P 1'
_space_group_IT_number 1
loop_
_space_group_symop_operation_xyz
'x,y,z'
loop_
_atom_site_label
_atom_site_fract_x
_atom_site_fract_y
_atom_site_fract_z
Zr1 0.000 0.500 0.000
Zr2 0.500 0.000 0.000
In1 0.000 0.000 0.500
Ag1 0.000 0.000 0.000
I1 0.500 0.500 0.500
```

Calculated values
energy relative to the elements, uncorrected	3.62	eV/f.u.

Computed, not measured: a relaxed structure of AgIr2I at the GGA-PBE level of DFT.

```
data_AgIr2I
_cell_length_a 4.639
_cell_length_b 4.639
_cell_length_c 4.639
_cell_angle_alpha 60.00
_cell_angle_beta 60.00
_cell_angle_gamma 60.00
_space_group_name_H-M_alt 'P 1'
_space_group_IT_number 1
loop_
_space_group_symop_operation_xyz
'x,y,z'
loop_
_atom_site_label
_atom_site_fract_x
_atom_site_fract_y
_atom_site_fract_z
Ag1 0.000 0.000 0.000
Ir1 0.250 0.250 0.250
Ir2 0.750 0.750 0.750
I1 0.500 0.500 0.500
```

Calculated values
energy relative to the elements, uncorrected	4.15	eV/f.u.

Computed, not measured: a relaxed structure of Ag2IrI6 at the GGA-PBE level of DFT.

```
data_Ag2IrI6
_cell_length_a 7.313
_cell_length_b 7.313
_cell_length_c 12.681
_cell_angle_alpha 115.66
_cell_angle_beta 115.66
_cell_angle_gamma 32.09
_space_group_name_H-M_alt 'P 1'
_space_group_IT_number 1
loop_
_space_group_symop_operation_xyz
'x,y,z'
loop_
_atom_site_label
_atom_site_fract_x
_atom_site_fract_y
_atom_site_fract_z
Ag1 0.180 0.180 0.352
Ag2 0.820 0.820 0.648
Ir1 0.500 0.500 0.000
I1 0.142 0.142 0.060
I2 0.155 0.155 0.577
I3 0.485 0.485 0.781
I4 0.515 0.515 0.219
I5 0.845 0.845 0.423
I6 0.858 0.858 0.940
```

Calculated values
energy relative to the elements, uncorrected	-1.08	eV/f.u.

Computed, not measured: a relaxed structure of Ag3IrI at the GGA-PBE level of DFT.

```
data_Ag3IrI
_cell_length_a 5.157
_cell_length_b 5.157
_cell_length_c 5.157
_cell_angle_alpha 90.00
_cell_angle_beta 90.00
_cell_angle_gamma 90.00
_space_group_name_H-M_alt 'P 1'
_space_group_IT_number 1
loop_
_space_group_symop_operation_xyz
'x,y,z'
loop_
_atom_site_label
_atom_site_fract_x
_atom_site_fract_y
_atom_site_fract_z
Ag1 0.000 0.000 0.500
Ag2 0.000 0.500 0.000
Ag3 0.500 0.000 0.000
Ir1 0.000 0.000 0.000
I1 0.500 0.500 0.500
```

Calculated values
energy relative to the elements, uncorrected	4.82	eV/f.u.

Computed, not measured: a relaxed structure of AgIr2I at the GGA-PBE level of DFT.

```
data_AgIr2I
_cell_length_a 5.974
_cell_length_b 5.974
_cell_length_c 5.974
_cell_angle_alpha 102.43
_cell_angle_beta 102.43
_cell_angle_gamma 124.70
_space_group_name_H-M_alt 'P 1'
_space_group_IT_number 1
loop_
_space_group_symop_operation_xyz
'x,y,z'
loop_
_atom_site_label
_atom_site_fract_x
_atom_site_fract_y
_atom_site_fract_z
Ag1 0.000 0.000 0.000
Ag2 0.750 0.250 0.500
Ir1 0.155 0.625 0.030
Ir2 0.375 0.405 0.530
Ir3 0.595 0.125 0.970
Ir4 0.875 0.845 0.470
I1 0.250 0.750 0.500
I2 0.500 0.500 0.000
```

Calculated values
energy relative to the elements, uncorrected	4.39	eV/f.u.

Computed, not measured: a relaxed structure of AgIr3I at the GGA-PBE level of DFT.

```
data_AgIr3I
_cell_length_a 4.852
_cell_length_b 4.852
_cell_length_c 4.852
_cell_angle_alpha 90.00
_cell_angle_beta 90.00
_cell_angle_gamma 90.00
_space_group_name_H-M_alt 'P 1'
_space_group_IT_number 1
loop_
_space_group_symop_operation_xyz
'x,y,z'
loop_
_atom_site_label
_atom_site_fract_x
_atom_site_fract_y
_atom_site_fract_z
Ag1 0.000 0.000 0.000
Ir1 0.000 0.500 0.500
Ir2 0.500 0.000 0.500
Ir3 0.500 0.500 0.000
I1 0.500 0.500 0.500
```

Calculated values
energy relative to the elements, uncorrected	9.82	eV/f.u.

Number 1: volume 40.9 Å³/atom, theoretical density 5.5 Mg/m³, DFT total energy -30.7 eV/f.u.. Number 2: volume 40.5 Å³/atom, theoretical density 5.8 Mg/m³, DFT total energy -30.2 eV/f.u.. Number 3: volume 44.5 Å³/atom, theoretical density 4.8 Mg/m³, DFT total energy -28.5 eV/f.u.. Number 4: volume 42.8 Å³/atom, theoretical density 4.9 Mg/m³, DFT total energy -29.2 eV/f.u.. Number 5: volume 29.1 Å³/atom, theoretical density 6.1 Mg/m³, DFT total energy -20.6 eV/f.u.. Number 6: volume 17.7 Å³/atom, theoretical density 14.6 Mg/m³, DFT total energy -18.0 eV/f.u.. Number 7: volume 35.7 Å³/atom, theoretical density 6.0 Mg/m³, DFT total energy -24.9 eV/f.u.. Number 8: volume 27.4 Å³/atom, theoretical density 7.8 Mg/m³, DFT total energy -14.1 eV/f.u.. Number 9: volume 19.4 Å³/atom, theoretical density 13.2 Mg/m³, DFT total energy -17.7 eV/f.u.. Number 10: volume 22.9 Å³/atom, theoretical density 11.8 Mg/m³, DFT total energy -21.2 eV/f.u..